First-principles (PBE) data for CaPmCuAu after structural relaxation, as listed in Alexandria via LeMat-Bulk.

Lattice parameters (Å, degrees): 4.5344 5.8352 5.8352 39.91 90.00 90.00
Closest atoms and distances in Å follow each position.
Sites, in units of the cell vectors:
Ca  0.0000  0.0000  0.0000  3 Cu 3.09-3.11, 4 Au 3.11
Pm  0.5000  0.7197  0.7197  3 Au 3.07-3.15, 4 Cu 3.09
Cu  0.0000  0.2819  0.2819  2 Au 2.81, 3 Ca 3.09-3.11, 4 Pm 3.09
Au  0.5000  0.4326  0.4326  2 Cu 2.81, 2 Pm 3.07, 4 Ca 3.11

Energy above the lowest structure with this stoichiometry: 0 meV/atom
Calculated formation energy: -0.488 eV per atom
E_tot: -4.0192 eV per atom
Density of states at the Fermi level: 2.5 states/eV/cell



First-principles (PBE) data for In2AgIO8 after structural relaxation, as listed in Alexandria via LeMat-Bulk.

Lattice parameters (Å, degrees): 4.7969 4.8855 6.7083 87.41 86.52 86.28
Closest atoms and distances in Å follow each position.
Sites, in units of the cell vectors:
In  0.0100  0.0144  0.2490  6 O 2.12-2.31
In  0.9900  0.9856  0.7510  6 O 2.12-2.31
Ag  0.5000  0.5000  0.0000  4 O 2.02-2.11
I  0.5000  0.5000  0.5000  6 O 1.85-1.97
O  0.2183  0.8265  0.9972  1 Ag 2.02, 2 In 2.12-2.13
O  0.2389  0.8186  0.4962  1 I 1.93
O  0.2670  0.3333  0.6923  1 I 1.85
O  0.3195  0.3526  0.2747  1 I 1.97, 1 Ag 2.11
O  0.6805  0.6474  0.7253  1 I 1.97, 1 Ag 2.11
O  0.7330  0.6667  0.3077  1 I 1.85
O  0.7611  0.1814  0.5038  1 I 1.93
O  0.7817  0.1735  0.0028  1 Ag 2.02, 2 In 2.12-2.13

Formation energy without anion corrections: -0.676 eV per atom
E_tot: -4.8050 eV per atom